# 1
# ScNi2Au2

A PBEsol-optimized structure of ScNi2Au2 (SCAN, Alexandria).

Properties
DOS at the Fermi energy in states/eV/atom: 0.73
Symmetry: No. 139
Energy in eV/atom: -37.308

a = 6.8400 Å, b = 6.8400 Å, c = 6.8400 Å
α = 150.16°, β = 150.16°, γ = 42.71°
Last column: nearest neighbours and their distance in Å.
Fractional coordinates of all 5 atoms:
Sc 0.0000 0.0000 0.0000  8 Au 2.83
Ni 0.2500 0.7500 0.5000  4 Ni 2.49, 4 Au 2.54
Ni 0.7500 0.2500 0.5000  4 Ni 2.49, 4 Au 2.54
Au 0.3942 0.3942 0.0000  4 Ni 2.54, 1 Au 2.70, 4 Sc 2.83
Au 0.6058 0.6058 0.0000  4 Ni 2.54, 1 Au 2.70, 4 Sc 2.83



# 2
# NaCuSb3

A PBEsol-optimized structure of NaCuSb3 (SCAN, Alexandria).

Properties
DOS at the Fermi energy in states/eV/atom: 0.64
Formation energy (no corrections) in eV/atom: 0.20
Symmetry: No. 221
Energy in eV/atom: -26.035

a = 5.1227 Å, b = 5.1227 Å, c = 5.1227 Å
α = 90.00°, β = 90.00°, γ = 90.00°
Last column: nearest neighbours and their distance in Å.
Fractional coordinates of all 5 atoms:
Na 0.0000 0.0000 0.0000  12 Sb 3.62
Cu 0.5000 0.5000 0.5000  6 Sb 2.56
Sb 0.0000 0.5000 0.5000  2 Cu 2.56
Sb 0.5000 0.0000 0.5000  2 Cu 2.56
Sb 0.5000 0.5000 0.0000  2 Cu 2.56



# 3
# Pr2ZnRu

A PBEsol-optimized structure of Pr2ZnRu (SCAN, Alexandria).

Properties
DOS at the Fermi energy in states/eV/atom: 0.75
Symmetry: No. 225
Energy in eV/atom: -33.994

a = 5.0273 Å, b = 5.0273 Å, c = 5.0273 Å
α = 60.00°, β = 60.00°, γ = 60.00°
Last column: nearest neighbours and their distance in Å.
Fractional coordinates of all 4 atoms:
Pr 0.2500 0.2500 0.2500  4 Ru 3.08, 4 Zn 3.08
Pr 0.7500 0.7500 0.7500  4 Ru 3.08, 4 Zn 3.08
Zn 0.0000 0.0000 0.0000  8 Pr 3.08
Ru 0.5000 0.5000 0.5000  8 Pr 3.08



# 4
# HfCoC2

A PBEsol-optimized structure of HfCoC2 (SCAN, Alexandria).

Properties
DOS at the Fermi energy in states/eV/atom: 0.59
Symmetry: No. 225
Energy in eV/atom: -24.391

a = 3.7972 Å, b = 3.7972 Å, c = 3.7972 Å
α = 60.00°, β = 60.00°, γ = 60.00°
Last column: nearest neighbours and their distance in Å.
Fractional coordinates of all 4 atoms:
Hf 0.0000 0.0000 0.0000  8 C 2.33
Co 0.5000 0.5000 0.5000  8 C 2.33
C 0.2500 0.2500 0.2500  4 Hf 2.33, 4 Co 2.33
C 0.7500 0.7500 0.7500  4 Hf 2.33, 4 Co 2.33



# 5
# Na4CrH8SO7

A PBEsol-optimized structure of Na4CrH8SO7 (SCAN, Alexandria).

Properties
DOS at the Fermi energy in states/eV/atom: 0.00
Symmetry: No. 14
Energy in eV/atom: -6.969

a = 5.7399 Å, b = 13.4283 Å, c = 11.0542 Å
α = 90.00°, β = 103.72°, γ = 90.00°
Last column: nearest neighbours and their distance in Å.
Fractional coordinates of all 84 atoms:
Na 0.0068 0.2095 0.2839  6 O 2.33-2.55, 4 H 2.46-2.60
Na 0.0068 0.2905 0.7839  6 O 2.33-2.55, 4 H 2.46-2.60
Na 0.2489 0.0567 0.5084  6 O 2.29-2.45, 2 H 2.48-2.52
Na 0.2489 0.4433 0.0084  6 O 2.29-2.45, 2 H 2.48-2.52
Na 0.2520 0.2006 0.0319  4 O 2.27-2.37, 1 H 2.42
Na 0.2520 0.2994 0.5319  4 O 2.27-2.37, 1 H 2.42
Na 0.4875 0.6815 0.7331  4 O 2.26-2.44, 1 H 2.50
Na 0.4875 0.8185 0.2331  4 O 2.26-2.44, 1 H 2.50
Na 0.5125 0.1815 0.7669  4 O 2.26-2.44, 1 H 2.50
Na 0.5125 0.3185 0.2669  4 O 2.26-2.44, 1 H 2.50
Na 0.7480 0.7006 0.4681  4 O 2.27-2.37, 1 H 2.42
Na 0.7480 0.7994 0.9681  4 O 2.27-2.37, 1 H 2.42
Na 0.7511 0.5567 0.9916  6 O 2.29-2.45, 2 H 2.48-2.52
Na 0.7511 0.9433 0.4916  6 O 2.29-2.45, 2 H 2.48-2.52
Na 0.9932 0.7095 0.2161  6 O 2.33-2.55, 4 H 2.46-2.60
Na 0.9932 0.7905 0.7161  6 O 2.33-2.55, 4 H 2.46-2.60
Cr 0.2509 0.6857 0.9791  6 O 1.98-2.04
Cr 0.2509 0.8143 0.4791  6 O 1.98-2.04
Cr 0.7491 0.1857 0.5209  6 O 1.98-2.04
Cr 0.7491 0.3143 0.0209  6 O 1.98-2.04
H 0.0060 0.0316 0.1332  1 O 1.00
H 0.0060 0.4684 0.6332  1 O 1.00
H 0.0643 0.1179 0.6883  1 O 0.98
H 0.0643 0.3821 0.1883  1 O 0.98
H 0.1892 0.6391 0.5353  1 O 0.98
H 0.1892 0.8609 0.0353  1 O 0.98
H 0.2486 0.5405 0.8181  1 O 0.98
H 0.2486 0.9595 0.3181  1 O 0.98
H 0.2675 0.5807 0.1736  1 O 0.98
H 0.2675 0.9193 0.6736  1 O 0.98
H 0.2959 0.0290 0.1504  1 O 1.01
H 0.2959 0.4710 0.6504  1 O 1.01
H 0.3391 0.6461 0.3842  1 O 0.99
H 0.3391 0.8539 0.8842  1 O 0.99
H 0.4149 0.1397 0.3428  1 O 0.98
H 0.4149 0.3603 0.8428  1 O 0.98
H 0.5851 0.6397 0.1572  1 O 0.98
H 0.5851 0.8603 0.6572  1 O 0.98
H 0.6609 0.1461 0.1158  1 O 0.99
H 0.6609 0.3539 0.6158  1 O 0.99
H 0.7041 0.5290 0.3496  1 O 1.01
H 0.7041 0.9710 0.8496  1 O 1.01
H 0.7325 0.0807 0.3264  1 O 0.98
H 0.7325 0.4193 0.8264  1 O 0.98
H 0.7514 0.0405 0.6819  1 O 0.98
H 0.7514 0.4595 0.1819  1 O 0.98
H 0.8108 0.1391 0.9647  1 O 0.98
H 0.8108 0.3609 0.4647  1 O 0.98
H 0.9357 0.6179 0.8117  1 O 0.98
H 0.9357 0.8821 0.3117  1 O 0.98
H 0.9940 0.5316 0.3668  1 O 1.00
H 0.9940 0.9684 0.8668  1 O 1.00
S 0.3894 0.0138 0.9103  1 S 2.12, 3 H 2.15-2.29
S 0.3894 0.4862 0.4103  1 S 2.12, 3 H 2.15-2.29
S 0.6106 0.5138 0.5897  1 S 2.12, 3 H 2.15-2.29
S 0.6106 0.9862 0.0897  1 S 2.12, 3 H 2.15-2.29
O 0.0834 0.1745 0.6357  1 H 0.98
O 0.0834 0.3255 0.1357  1 H 0.98
O 0.1416 0.7012 0.5693  1 H 0.98
O 0.1416 0.7988 0.0693  1 H 0.98
O 0.1457 0.5918 0.0961  1 H 0.98
O 0.1457 0.9082 0.5961  1 H 0.98
O 0.1603 0.0630 0.1776  2 H 1.00-1.01
O 0.1603 0.4370 0.6776  2 H 1.00-1.01
O 0.3535 0.7180 0.3662  1 H 0.99
O 0.3535 0.7820 0.8662  1 H 0.99
O 0.3614 0.5775 0.8833  1 H 0.98
O 0.3614 0.9225 0.3833  1 H 0.98
O 0.4178 0.1912 0.4059  1 H 0.98
O 0.4178 0.3088 0.9059  1 H 0.98
O 0.5822 0.6912 0.0941  1 H 0.98
O 0.5822 0.8088 0.5941  1 H 0.98
O 0.6386 0.0775 0.6167  1 H 0.98
O 0.6386 0.4225 0.1167  1 H 0.98
O 0.6465 0.2180 0.1338  1 H 0.99
O 0.6465 0.2820 0.6338  1 H 0.99
O 0.8397 0.5630 0.3224  2 H 1.00-1.01
O 0.8397 0.9370 0.8224  2 H 1.00-1.01
O 0.8543 0.0918 0.4039  1 H 0.98
O 0.8543 0.4082 0.9039  1 H 0.98
O 0.8584 0.2012 0.9307  1 H 0.98
O 0.8584 0.2988 0.4307  1 H 0.98
O 0.9166 0.6745 0.8643  1 H 0.98
O 0.9166 0.8255 0.3643  1 H 0.98



# 6
# CaLa2Cu

A PBEsol-optimized structure of CaLa2Cu (SCAN, Alexandria).

Properties
DOS at the Fermi energy in states/eV/atom: 1.15
Symmetry: No. 71
Energy in eV/atom: -27.771

a = 6.8491 Å, b = 6.8491 Å, c = 6.8491 Å
α = 150.37°, β = 133.58°, γ = 56.04°
Last column: nearest neighbours and their distance in Å.
Fractional coordinates of all 4 atoms:
Ca 0.0000 0.0000 0.0000  4 Cu 3.22, 2 Ca 3.50
La 0.3002 0.8002 0.5000  2 Cu 2.98
La 0.6998 0.1998 0.5000  2 Cu 2.98
Cu 0.5000 0.5000 0.0000  4 La 2.98, 4 Ca 3.22



# 7
# Sc2MnTe

A PBEsol-optimized structure of Sc2MnTe (SCAN, Alexandria).

Properties
DOS at the Fermi energy in states/eV/atom: 0.72
Formation energy (no corrections) in eV/atom: -0.40
Symmetry: No. 166
Energy in eV/atom: -21.393

a = 7.9557 Å, b = 7.9557 Å, c = 7.9557 Å
α = 26.36°, β = 26.36°, γ = 26.36°
Last column: nearest neighbours and their distance in Å.
Fractional coordinates of all 4 atoms:
Sc 0.2470 0.2470 0.2470  3 Mn 2.79, 3 Te 2.89
Sc 0.7530 0.7530 0.7530  3 Mn 2.79, 3 Te 2.89
Mn 0.5000 0.5000 0.5000  6 Sc 2.79
Te 0.0000 0.0000 0.0000  6 Sc 2.89



# 8
# ScCd2Cu

A PBEsol-optimized structure of ScCd2Cu (SCAN, Alexandria).

Properties
DOS at the Fermi energy in states/eV/atom: 0.42
Symmetry: No. 216
Energy in eV/atom: -22.785

a = 4.6515 Å, b = 4.6515 Å, c = 4.6515 Å
α = 60.00°, β = 60.00°, γ = 60.00°
Last column: nearest neighbours and their distance in Å.
Fractional coordinates of all 4 atoms:
Sc 0.0000 0.0000 0.0000  4 Cd 2.85, 4 Cu 2.85
Cd 0.5000 0.5000 0.5000  4 Cd 2.85, 4 Cu 2.85
Cd 0.7500 0.7500 0.7500  4 Cd 2.85, 4 Sc 2.85
Cu 0.2500 0.2500 0.2500  4 Cd 2.85, 4 Sc 2.85



# 9
# BaBeAu

A PBEsol-optimized structure of BaBeAu (SCAN, Alexandria).

Properties
DOS at the Fermi energy in states/eV/atom: 0.86
Symmetry: No. 187
Energy in eV/atom: -38.064

a = 4.1723 Å, b = 4.1723 Å, c = 4.8692 Å
α = 90.00°, β = 90.00°, γ = 120.00°
Last column: nearest neighbours and their distance in Å.
Fractional coordinates of all 3 atoms:
Ba 0.0000 0.0000 0.0000  6 Be 3.42, 6 Au 3.42
Be 0.3333 0.6667 0.5000  3 Au 2.41
Au 0.6667 0.3333 0.5000  3 Be 2.41



# 10
# KSe2Cl

A PBEsol-optimized structure of KSe2Cl (SCAN, Alexandria).

Properties
DOS at the Fermi energy in states/eV/atom: 0.45
Formation energy (no corrections) in eV/atom: -0.74
Symmetry: No. 139
Energy in eV/atom: -14.859

a = 7.6871 Å, b = 7.6871 Å, c = 7.6871 Å
α = 150.60°, β = 150.60°, γ = 42.06°
Last column: nearest neighbours and their distance in Å.
Fractional coordinates of all 4 atoms:
K 0.0000 0.0000 0.0000  4 Cl 2.76
Se 0.2500 0.7500 0.5000  4 Se 2.76
Se 0.7500 0.2500 0.5000  4 Se 2.76
Cl 0.5000 0.5000 0.0000  4 K 2.76



# 11
# KAgSCl2

A PBEsol-optimized structure of KAgSCl2 (SCAN, Alexandria).

Properties
DOS at the Fermi energy in states/eV/atom: 0.83
Formation energy (no corrections) in eV/atom: -0.73
Symmetry: No. 123
Energy in eV/atom: -13.782

a = 5.1087 Å, b = 5.1087 Å, c = 4.7402 Å
α = 90.00°, β = 90.00°, γ = 90.00°
Last column: nearest neighbours and their distance in Å.
Fractional coordinates of all 5 atoms:
K 0.0000 0.0000 0.0000  8 Cl 3.48, 4 S 3.61
Ag 0.5000 0.5000 0.5000  2 S 2.37, 4 Cl 2.55
S 0.5000 0.5000 0.0000  2 Ag 2.37
Cl 0.0000 0.5000 0.5000  2 Ag 2.55
Cl 0.5000 0.0000 0.5000  2 Ag 2.55



# 12
# KLa2Fe

A PBEsol-optimized structure of KLa2Fe (SCAN, Alexandria).

Properties
DOS at the Fermi energy in states/eV/atom: 0.97
Symmetry: No. 123
Energy in eV/atom: -27.923

a = 3.4906 Å, b = 3.4906 Å, c = 10.7062 Å
α = 90.00°, β = 90.00°, γ = 90.00°
Last column: nearest neighbours and their distance in Å.
Fractional coordinates of all 4 atoms:
K 0.0000 0.0000 0.0000  4 K 3.49
La 0.5000 0.5000 0.3486  4 Fe 2.95, 1 La 3.24
La 0.5000 0.5000 0.6514  4 Fe 2.95, 1 La 3.24
Fe 0.0000 0.0000 0.5000  8 La 2.95